# 1
SrRe2Au | GGA-PBE | relaxed

Cell lengths 6.704, 6.704, 6.704 Å; angles 90.00, 90.00, 90.00 degrees
Fractional coordinates of all 16 atoms:
Sr 0.000 0.000 0.000
Sr 0.000 0.500 0.500
Sr 0.500 0.000 0.500
Sr 0.500 0.500 0.000
Re 0.000 0.000 0.500
Re 0.000 0.500 0.000
Re 0.250 0.250 0.250
Re 0.250 0.750 0.750
Re 0.500 0.000 0.000
Re 0.500 0.500 0.500
Re 0.750 0.250 0.750
Re 0.750 0.750 0.250
Au 0.250 0.250 0.750
Au 0.250 0.750 0.250
Au 0.750 0.250 0.250
Au 0.750 0.750 0.750

ρ in g/cm3: 14.5
DFT total energy in eV/atom: -6.556
Formation enthalpy at 0 K in eV per atom: 0.9082
Offset from the most stable computed form in eV/atom: 0.613
Space-group type: F-43m, No. 216


# 2
Ca2CoCu | GGA-PBE | relaxed

Cell lengths 4.778, 3.418, 5.772 Å; angles 90.00, 90.38, 90.00 degrees
Fractional coordinates of all 4 atoms:
Ca 0.000 0.000 0.000
Ca 0.500 0.500 0.500
Co 0.000 0.000 0.500
Cu 0.500 0.500 0.000

ρ in g/cm3: 3.6
DFT total energy in eV/atom: -3.368
Formation enthalpy at 0 K in eV per atom: 0.4336
Offset from the most stable computed form in eV/atom: 0.354
Space-group type: P2/m, No. 10


# 3
KCo2Cu | GGA-PBE | relaxed

Cell lengths 2.613, 5.349, 10.088 Å; angles 90.00, 90.00, 90.00 degrees
Fractional coordinates of all 8 atoms:
K 0.000 0.000 0.000
K 0.500 0.500 0.500
Co 0.000 0.000 0.493
Co 0.000 0.500 0.802
Co 0.500 0.000 0.302
Co 0.500 0.500 0.993
Cu 0.000 0.500 0.203
Cu 0.500 0.000 0.703

ρ in g/cm3: 5.2
DFT total energy in eV/atom: -3.988
Formation enthalpy at 0 K in eV per atom: 0.8634
Offset from the most stable computed form in eV/atom: 0.335
Space-group type: Imm2, No. 44


# 4
K3Pd3WSe8 | GGA-PBE | relaxed

Cell lengths 7.796, 7.796, 8.722 Å; angles 116.43, 116.43, 59.94 degrees
Fractional coordinates of all 15 atoms:
K 0.000 0.000 0.000
K 0.000 0.500 0.000
K 0.500 0.000 0.000
Pd 0.000 0.500 0.500
Pd 0.500 0.000 0.500
Pd 0.500 0.500 0.500
W 0.000 0.000 0.500
Se 0.220 0.220 0.674
Se 0.222 0.731 0.674
Se 0.269 0.778 0.326
Se 0.276 0.276 0.331
Se 0.724 0.724 0.669
Se 0.731 0.222 0.674
Se 0.778 0.269 0.326
Se 0.780 0.780 0.326

ρ in g/cm3: 5.3
DFT total energy in eV/atom: -4.478
Space-group type: C2/m, No. 12